# 1
Entry from the Alexandria database: a relaxed structure of AcTb12Ho6 (PBE).

## Properties
**SG**: R-3m
**Relative energy among the computed polymorphs**: 0.2562 eV per atom
**Calculated total energy**: -4.17 eV per atom

a b c (Å): 9.270 9.270 9.270
angles (deg): 107.19 107.19 107.19
Atoms (fractional coordinates):
Ho 0.696 0.263 0.696
Ho 0.304 0.737 0.304
Ho 0.737 0.304 0.304
Ho 0.304 0.304 0.737
Ho 0.696 0.696 0.263
Ho 0.263 0.696 0.696
Tb 0.164 0.385 0.385
Tb 0.889 0.111 0.500
Tb 0.500 0.111 0.889
Tb 0.385 0.164 0.385
Tb 0.500 0.889 0.111
Tb 0.615 0.615 0.836
Tb 0.836 0.615 0.615
Tb 0.889 0.500 0.111
Tb 0.385 0.385 0.164
Tb 0.111 0.500 0.889
Tb 0.615 0.836 0.615
Tb 0.111 0.889 0.500
Ac 0.000 0.000 0.000


# 2
Entry from the Alexandria database: a relaxed structure of Sm3ScTl (PBE).

## Properties
**SG**: Cmcm
**Relative energy among the computed polymorphs**: 0.0000 eV per atom
**Calculated total energy**: -4.68 eV per atom

a b c (Å): 4.825 4.822 12.759
angles (deg): 90.00 79.10 90.00
Atoms (fractional coordinates):
Sm 0.879 0.750 0.890
Sm 0.574 0.250 0.501
Sm 0.769 0.250 0.110
Sm 0.269 0.750 0.110
Sm 0.379 0.250 0.890
Sm 0.075 0.750 0.499
Tl 0.671 0.750 0.306
Tl 0.977 0.250 0.694
Sc 0.476 0.750 0.697
Sc 0.172 0.250 0.303


# 3
Entry from the Alexandria database: a relaxed structure of SrCdRh2 (PBE).

## Properties
**SG**: I-4m2
**Calculated total energy**: -4.25 eV per atom

a b c (Å): 5.429 5.429 5.429
angles (deg): 134.75 134.75 65.91
Atoms (fractional coordinates):
Sr 0.500 0.500 0.000
Rh 0.000 0.000 0.000
Rh 0.250 0.750 0.500
Cd 0.750 0.250 0.500


# 4
Entry from the Alexandria database: a relaxed structure of Sm4HoHg5 (PBE).

## Properties
**SG**: P4/mmm
**Calculated total energy**: -2.97 eV per atom

a b c (Å): 3.773 3.773 18.931
angles (deg): 90.00 90.00 90.00
Atoms (fractional coordinates):
Sm 0.000 0.000 0.601
Sm 0.000 0.000 0.803
Sm 0.000 0.000 0.197
Sm 0.000 0.000 0.399
Hg 0.500 0.500 0.906
Hg 0.500 0.500 0.094
Hg 0.500 0.500 0.500
Hg 0.500 0.500 0.298
Hg 0.500 0.500 0.702
Ho 0.000 0.000 0.000


# 5
Entry from the Alexandria database: a relaxed structure of Ba3LaPb6 (PBE).

## Properties
**SG**: R-3c
**Calculated total energy**: -3.73 eV per atom

a b c (Å): 9.240 9.240 9.240
angles (deg): 97.97 97.97 97.97
Atoms (fractional coordinates):
Ba 0.316 0.184 0.750
Ba 0.750 0.316 0.184
Ba 0.184 0.750 0.316
Ba 0.250 0.684 0.816
Ba 0.816 0.250 0.684
Ba 0.684 0.816 0.250
Pb 0.633 0.988 0.912
Pb 0.912 0.633 0.988
Pb 0.012 0.088 0.367
Pb 0.413 0.488 0.133
Pb 0.867 0.587 0.512
Pb 0.512 0.867 0.587
Pb 0.587 0.512 0.867
Pb 0.133 0.413 0.488
Pb 0.367 0.012 0.088
Pb 0.088 0.367 0.012
Pb 0.988 0.912 0.633
Pb 0.488 0.133 0.413
La 0.000 0.000 0.000
La 0.500 0.500 0.500


# 6
Entry from the Alexandria database: a relaxed structure of NaSr2Tl6 (PBE).

## Properties
**SG**: C2/m
**Relative energy among the computed polymorphs**: 0.0000 eV per atom
**Calculated total energy**: -2.32 eV per atom

a b c (Å): 6.682 7.008 7.015
angles (deg): 119.97 89.99 90.00
Atoms (fractional coordinates):
Na 0.000 0.000 0.000
Tl 0.324 0.179 0.359
Tl 0.676 0.821 0.641
Tl 0.325 0.179 0.821
Tl 0.675 0.821 0.179
Tl 0.325 0.642 0.821
Tl 0.675 0.358 0.179
Sr 0.161 0.666 0.333
Sr 0.839 0.334 0.667


# 7
Entry from the Alexandria database: a relaxed structure of Hg2BAs2 (PBE).

## Properties
**SG**: I4/mmm
**Relative energy among the computed polymorphs**: 0.1866 eV per atom
**Calculated total energy**: -2.33 eV per atom

a b c (Å): 3.631 3.631 8.661
angles (deg): 77.90 77.90 90.00
Atoms (fractional coordinates):
Hg 0.412 0.412 0.175
Hg 0.588 0.588 0.825
As 0.750 0.250 0.500
As 0.250 0.750 0.500
B 0.000 0.000 0.000


# 8
Entry from the Alexandria database: a relaxed structure of YReHg2 (PBE).

## Properties
**SG**: Pmm2
**Relative energy among the computed polymorphs**: 0.1109 eV per atom
**Calculated total energy**: -4.48 eV per atom

a b c (Å): 4.801 3.092 5.870
angles (deg): 90.04 90.00 90.00
Atoms (fractional coordinates):
Re 0.000 0.250 0.510
Hg 0.500 0.250 0.258
Hg 0.000 0.250 0.999
Y 0.500 0.750 0.733


# 9
Entry from the Alexandria database: a relaxed structure of Y2CrCd (PBE).

## Properties
**SG**: Pmm2
**Calculated total energy**: -5.84 eV per atom

a b c (Å): 5.166 3.750 5.166
angles (deg): 90.00 90.00 90.00
Atoms (fractional coordinates):
Cd 0.500 0.500 0.673
Y 0.000 0.000 0.671
Y 0.500 0.000 0.172
Cr 0.000 0.500 0.170


# 10
Entry from the Alexandria database: a relaxed structure of La2ZrHg (PBE).

## Properties
**SG**: P4mm
**Calculated total energy**: -4.78 eV per atom

a b c (Å): 3.598 3.598 8.825
angles (deg): 90.00 90.00 90.00
Atoms (fractional coordinates):
Hg 0.500 0.500 0.719
La 0.500 0.500 0.277
La 0.000 0.000 0.974
Zr 0.000 0.000 0.530


# 11
Entry from the Alexandria database: a relaxed structure of RbSn2Sb (PBE).

## Properties
**SG**: R-3m
**Calculated total energy**: -3.26 eV per atom
**Formation energy (no corrections)**: 0.01 eV per atom

a b c (Å): 4.137 4.137 10.055
angles (deg): 78.13 78.13 60.00
Atoms (fractional coordinates):
Rb 0.500 0.500 0.500
Sb 0.000 0.000 0.000
Sn 0.731 0.731 0.808
Sn 0.269 0.269 0.192


# 12
Entry from the Alexandria database: a relaxed structure of PrMgRh (PBE).

## Properties
**SG**: Pnma
**Calculated total energy**: -5.06 eV per atom

a b c (Å): 4.855 5.480 10.609
angles (deg): 90.00 90.00 90.00
Atoms (fractional coordinates):
Mg 0.250 0.876 0.840
Mg 0.750 0.624 0.340
Mg 0.750 0.124 0.160
Mg 0.250 0.376 0.660
Rh 0.250 0.155 0.053
Rh 0.750 0.845 0.947
Rh 0.250 0.655 0.447
Rh 0.750 0.345 0.553
Pr 0.750 0.354 0.881
Pr 0.250 0.646 0.119
Pr 0.750 0.854 0.619
Pr 0.250 0.146 0.381